# 1
DFT (PBE) results for a relaxed La3Cd4In2 crystal.

Cell: 6.2745 6.2745 9.5657 Å, 114.43 114.43 47.57°
Atoms (fractional coordinates):
La (0.0000, 0.0000, 0.0000)
La (0.3340, 0.3340, 0.3295)
La (0.6660, 0.6660, 0.6705)
Cd (0.0754, 0.0754, 0.4109)
Cd (0.2947, 0.2947, 0.9639)
Cd (0.7053, 0.7053, 0.0361)
Cd (0.9246, 0.9246, 0.5891)
In (0.3896, 0.3896, 0.7234)
In (0.6104, 0.6104, 0.2766)

Output
**Uncorrected energy**: -0.1139 hartree per atom
**Space group**: C2/m, No. 12

=====

# 2
DFT (PBE) results for a relaxed Pm3Ni4Ge4 crystal.

Cell: 12.2881 12.2881 12.2881 Å, 160.85 160.47 27.49°
Atoms (fractional coordinates):
Pm (0.0000, 0.0000, 0.0000)
Pm (0.3498, 0.8498, 0.5000)
Pm (0.6502, 0.1502, 0.5000)
Ni (0.0984, 0.5984, 0.5000)
Ni (0.2494, 0.2494, 0.0000)
Ni (0.7506, 0.7506, 0.0000)
Ni (0.9016, 0.4016, 0.5000)
Ge (0.1981, 0.6981, 0.5000)
Ge (0.4468, 0.4468, 0.0000)
Ge (0.5532, 0.5532, 0.0000)
Ge (0.8019, 0.3019, 0.5000)

Output
**Uncorrected energy**: -0.2105 hartree per atom
**Space group**: Immm, No. 71

=====

# 3
DFT (PBE) results for a relaxed Tb3P2N crystal.

Cell: 3.8130 3.8130 9.5619 Å, 90.00 90.00 120.00°
Atoms (fractional coordinates):
Tb (0.0000, 0.0000, 0.0000)
Tb (0.3333, 0.6667, 0.3588)
Tb (0.6667, 0.3333, 0.6412)
P (0.3333, 0.6667, 0.8220)
P (0.6667, 0.3333, 0.1780)
N (0.0000, 0.0000, 0.5000)

Output
**Uncorrected energy**: -0.2574 hartree per atom
**Space group**: P-3m1, No. 164

=====

# 4
DFT (PBE) results for a relaxed Pr3Gd crystal.

Cell: 6.3762 6.3762 6.3762 Å, 132.17 132.17 69.96°
Atoms (fractional coordinates):
Pr (0.0000, 0.0000, 0.0000)
Pr (0.2500, 0.7500, 0.5000)
Pr (0.7500, 0.2500, 0.5000)
Gd (0.5000, 0.5000, 0.0000)

Output
**Energy of formation**: 0.01 eV per atom
**Space group**: I4/mmm, No. 139

=====

# 5
DFT (PBE) results for a relaxed CuAg2Ir crystal.

Cell: 4.4460 4.4460 4.4460 Å, 60.00 60.00 60.00°
Atoms (fractional coordinates):
Cu (0.0000, 0.0000, 0.0000)
Ag (0.2500, 0.2500, 0.2500)
Ag (0.5000, 0.5000, 0.5000)
Ir (0.7500, 0.7500, 0.7500)

Output
**Energy of formation**: 0.42 eV per atom
**Space group**: F-43m, No. 216

=====

# 6
DFT (PBE) results for a relaxed Tm5FeTe3 crystal.

Cell: 8.2037 8.2037 3.9829 Å, 90.00 90.00 120.00°
Atoms (fractional coordinates):
Tm (0.0000, 0.6671, 0.0000)
Tm (0.3329, 0.3329, 0.0000)
Tm (0.3333, 0.6667, 0.5000)
Tm (0.6671, 0.0000, 0.0000)
Tm (0.6667, 0.3333, 0.5000)
Fe (0.0000, 0.0000, 0.0000)
Te (0.0000, 0.2564, 0.5000)
Te (0.2564, 0.0000, 0.5000)
Te (0.7436, 0.7436, 0.5000)

Output
**E above lowest polymorph**: 0.082 eV per atom
**Space group**: P-62m, No. 189

=====

# 7
DFT (PBE) results for a relaxed GdBiPd crystal.

Cell: 4.7715 4.7715 4.7715 Å, 60.00 60.00 60.00°
Atoms (fractional coordinates):
Gd (0.0000, 0.0000, 0.0000)
Bi (0.5000, 0.5000, 0.5000)
Pd (0.7500, 0.7500, 0.7500)

Output
**Uncorrected energy**: -0.2054 hartree per atom
**Space group**: F-43m, No. 216

=====

# 8
DFT (PBE) results for a relaxed Er2Cd crystal.

Cell: 5.0794 5.0794 5.0794 Å, 60.00 60.00 60.00°
Atoms (fractional coordinates):
Er (0.2500, 0.2500, 0.2500)
Er (0.7500, 0.7500, 0.7500)
Cd (0.0000, 0.0000, 0.0000)

Output
**Energy of formation**: 0.09 eV per atom
**Space group**: Fm-3m, No. 225

=====

Number 1: theoretical density 7.34 Mg/m³. Number 2: theoretical density 7.84 Mg/m³. Number 3: theoretical density 7.62 Mg/m³. Number 4: theoretical density 6.90 Mg/m³. Number 5: theoretical density 12.60 Mg/m³. Number 6: theoretical density 9.18 Mg/m³. Number 7: theoretical density 10.22 Mg/m³. Number 8: theoretical density 8.01 Mg/m³.